A plane-wave DFT calculation with GGA-PBE was carried out for CdPb2C after structural relaxation.

Values from the calculation:
**Theoretical density**: 9627 kg/m³
**Space group**: Fm-3m (225)
**Energy of formation**: 1.3286 eV per atom
**Energy above the lowest structure with this stoichiometry**: 1.54 eV/f.u.

Unit cell a=5.084 b=5.084 c=5.084 alpha=60.00 beta=60.00 gamma=60.00
Fractional positions:
Pb  0.250  0.250  0.250
Pb  0.750  0.750  0.750
Cd  0.500  0.500  0.500
C  0.000  0.000  0.000



A plane-wave DFT calculation with GGA-PBE was carried out for Sm6SiSb2Se3 after structural relaxation.

Values from the calculation:
**Theoretical density**: 6953 kg/m³
**E_form (uncorrected)**: -1448 meV per atom
**Space group**: C2/m (12)

Unit cell a=4.295 b=8.596 c=9.600 alpha=102.44 beta=102.93 gamma=90.00
Fractional positions:
Sm  0.337  0.411  0.675
Sm  0.660  0.073  0.319
Sm  0.998  0.235  0.996
Sm  0.663  0.589  0.325
Sm  0.002  0.765  0.004
Sm  0.340  0.927  0.681
Se  0.169  0.834  0.337
Se  0.500  0.500  0.000
Se  0.831  0.166  0.663
Sb  0.167  0.334  0.335
Sb  0.833  0.666  0.665
Si  0.500  0.000  0.000